No. 1
Ac3Pm6Ho: relaxed, PBE.

Cell: 10.1707 10.1707 12.9177 Å, 90.00 90.00 120.00°
Closest atoms and distances in Å follow each position.
Space group R-3 (No. 148, hexagonal axes)
Symmetry-distinct sites (fractional):
1 Ac 0.0000 0.0000 0.0000 [3 per cell]  2 Ac 3.33, 6 Pm 3.62
2 Ac 0.0000 0.0000 0.2577 [6 per cell]  1 Ho 3.13, 1 Ac 3.33, 3 Pm 3.43
3 Pm 0.9997 0.3261 0.5771 [18 per cell]  2 Ac 3.43-3.62, 1 Ho 3.46
4 Ho 0.0000 0.0000 0.5000 [3 per cell]  2 Ac 3.13, 6 Pm 3.46

## Properties
The calculation puts the calculated volume at 38.6 A^3/atom. The electronic total energy comes out at -41.82 eV per formula unit.

---

No. 2
Ac8Pm2Ho3: relaxed, PBE.

Cell: 6.6497 6.6732 12.0680 Å, 90.16 100.70 99.66°
Closest atoms and distances in Å follow each position.
Space group P-1 (No. 2)
Symmetry-distinct sites (fractional):
1 Ac 0.0431 0.4142 0.1489 [2 per cell]  5 Ho 3.74-3.90, 6 Ac 3.75-3.90, 1 Pm 3.88
2 Ac 0.1967 0.1184 0.7783 [2 per cell]  4 Ho 3.68-3.86, 6 Ac 3.82-3.90, 2 Pm 3.90-3.91
3 Ac 0.3414 0.8067 0.3824 [2 per cell]  4 Pm 3.80-3.87, 1 Ho 3.84, 7 Ac 3.85-3.89
4 Ac 0.4188 0.6556 0.6950 [2 per cell]  2 Ho 3.79-3.82, 3 Pm 3.81-3.91, 7 Ac 3.83-3.89
5 Pm 0.1127 0.2669 0.4627 [2 per cell]  10 Ac 3.80-3.91, 2 Pm 3.80-3.85
6 Ho 0.2761 0.9607 0.0729 [2 per cell]  8 Ac 3.68-3.90, 4 Ho 3.70-3.89
7 Ho 0.5000 0.5000 0.0000 [1 per cell]  8 Ac 3.73-3.86, 4 Ho 3.80-3.83

## Properties
The calculation puts the calculated volume at 39.9 A^3/atom. The electronic total energy comes out at -55.36 eV per formula unit.

---

No. 3
AcPm6Ho4: relaxed, PBE.

Cell: 5.9525 9.7797 25.8696 Å, 90.00 90.00 90.00°
Closest atoms and distances in Å follow each position.
Space group Cmcm (No. 63)
Symmetry-distinct sites (fractional):
1 Ac 0.0000 0.2183 0.2500 [4 per cell]  3 Pm 3.35
2 Pm 0.0000 0.1170 0.6789 [8 per cell]  4 Ho 3.54-3.68, 5 Pm 3.65-3.90, 3 Ac 3.76-3.85
3 Pm 0.0000 0.2031 0.0970 [8 per cell]  7 Ho 3.41-3.72, 1 Pm 3.78
4 Pm 0.0000 0.4396 0.7500 [4 per cell]  2 Ho 3.27, 3 Ac 3.35, 2 Pm 3.65
5 Pm 0.0000 0.5000 0.0000 [4 per cell]  8 Ho 3.23-3.61
6 Ho 0.0000 0.1492 0.5428 [8 per cell]  8 Pm 3.49-3.72, 2 Ho 3.62-3.66
7 Ho 0.0000 0.4517 0.6236 [8 per cell]  6 Pm 3.23-3.57

## Properties
The calculation puts the calculated volume at 34.2 A^3/atom. For the energy above the most stable polymorph in this dataset, the calculation gives 0.000 eV/atom.

---

No. 4
Ac5Pm5Ho2: relaxed, PBE.

Cell: 15.9514 5.3394 11.9520 Å, 90.00 116.36 90.00°
Closest atoms and distances in Å follow each position.
Space group C2/m (No. 12)
Symmetry-distinct sites (fractional):
1 Ac 0.0000 0.0000 0.0000 [2 per cell]  2 Ho 3.69, 8 Pm 3.76-3.78, 2 Ac 3.81
2 Ac 0.1600 0.0000 0.4958 [4 per cell]  5 Pm 3.71-3.93, 2 Ho 3.72-3.82, 5 Ac 3.83-3.89
3 Ac 0.2464 0.5000 0.7528 [4 per cell]  6 Pm 3.69-3.87, 2 Ho 3.74, 4 Ac 3.81-3.87
4 Pm 0.0000 0.5000 0.5000 [2 per cell]  6 Ac 3.71-3.75, 2 Pm 3.74, 4 Ho 3.84
5 Pm 0.0784 0.5000 0.2476 [4 per cell]  2 Ho 3.70, 3 Pm 3.73-3.81, 7 Ac 3.76-3.93
6 Pm 0.1683 0.5000 0.0004 [4 per cell]  5 Ac 3.69-3.78, 3 Ho 3.72-3.73, 4 Pm 3.73-3.81
7 Ho 0.0842 0.0000 0.7577 [4 per cell]  5 Ac 3.69-3.82, 7 Pm 3.70-3.84

## Properties
The calculation puts the calculated volume at 38.0 A^3/atom. The electronic total energy comes out at -52.88 eV per formula unit.

---

No. 5
AcPmHo2: relaxed, PBE.

Cell: 3.7024 3.7024 35.2211 Å, 90.00 90.00 120.00°
Closest atoms and distances in Å follow each position.
Space group R-3m (No. 166, hexagonal axes)
Symmetry-distinct sites (fractional):
1 Ac 0.0000 0.0000 0.0000 [3 per cell]  6 Ho 3.70, 6 Ac 3.70
2 Pm 0.0000 0.0000 0.5000 [3 per cell]  6 Ho 3.57, 6 Pm 3.70
3 Ho 0.0000 0.0000 0.2477 [6 per cell]  3 Pm 3.57, 3 Ac 3.70, 6 Ho 3.70

## Properties
The calculation puts the calculated volume at 34.8 A^3/atom. For the energy above the most stable polymorph in this dataset, the calculation gives 0.000 eV/atom.

---

No. 6
AcPm4Ho7: relaxed, PBE.

Cell: 6.2979 7.2716 8.9653 Å, 89.91 76.44 90.00°
Closest atoms and distances in Å follow each position.
Space group P-1 (No. 2)
Symmetry-distinct sites (fractional):
1 Ac 0.0000 0.0000 0.0000 [1 per cell]  10 Ho 3.60-3.65, 2 Pm 3.62
2 Pm 0.2218 0.4993 0.3323 [2 per cell]  4 Pm 3.57-3.63, 8 Ho 3.57-3.64
3 Pm 0.2802 0.7482 0.6630 [2 per cell]  8 Ho 3.53-3.67, 3 Pm 3.57-3.63, 1 Ac 3.62
4 Ho 0.0000 0.5000 0.0000 [1 per cell]  4 Pm 3.58-3.60, 6 Ho 3.60-3.63, 2 Ac 3.64
5 Ho 0.2237 0.9994 0.3368 [2 per cell]  5 Pm 3.53-3.67, 6 Ho 3.55-3.66, 1 Ac 3.62
6 Ho 0.2794 0.2513 0.6648 [2 per cell]  6 Pm 3.54-3.66, 5 Ho 3.55-3.66, 1 Ac 3.60
7 Ho 0.4997 0.2522 0.9994 [2 per cell]  3 Pm 3.57-3.61, 7 Ho 3.59-3.67, 2 Ac 3.64-3.65

## Properties
The calculation puts the calculated volume at 33.3 A^3/atom. For the energy above the most stable polymorph in this dataset, the calculation gives 0.000 eV/atom.

---

No. 7
Ac2Pm7Ho4: relaxed, PBE.

Cell: 6.3012 6.3012 13.3070 Å, 90.00 90.00 120.00°
Closest atoms and distances in Å follow each position.
Space group P-31m (No. 162)
Symmetry-distinct sites (fractional):
1 Ac 0.3333 0.6667 0.0000 [2 per cell]  9 Pm 3.63-3.64, 3 Ac 3.64
2 Pm 0.0000 0.0000 0.0000 [1 per cell]  6 Ac 3.64, 6 Pm 3.83
3 Pm 0.0000 0.3696 0.7718 [6 per cell]  1 Ho 3.21, 4 Pm 3.46
4 Ho 0.0000 0.0000 0.3941 [2 per cell]  1 Ho 2.82
5 Ho 0.3333 0.6667 0.5000 [2 per cell]  9 Ho 3.64-3.90

## Properties
The calculation puts the calculated volume at 35.2 A^3/atom. The electronic total energy comes out at -57.05 eV per formula unit.

---

No. 8
Ac8Pm5Ho: relaxed, PBE.

Cell: 9.0279 9.0826 9.2718 Å, 62.53 61.56 87.06°
Closest atoms and distances in Å follow each position.
Space group P1 (No. 1)
Symmetry-distinct sites (fractional):
1 Ac 0.0000 0.0000 0.0000 [1 per cell]  1 Ho 3.61, 5 Ac 3.68-4.05, 2 Pm 3.68-3.84
2 Ac 0.0670 0.6913 0.3839 [1 per cell]  1 Ho 3.64, 4 Ac 3.68-4.01, 4 Pm 3.73-3.92
3 Ac 0.2693 0.9269 0.5452 [1 per cell]  5 Pm 3.67-3.90, 1 Ho 3.76, 3 Ac 4.01-4.10
4 Ac 0.4672 0.1831 0.7350 [1 per cell]  4 Pm 3.55-3.80, 1 Ho 3.57, 3 Ac 3.61-3.70
5 Ac 0.5776 0.8564 0.0603 [1 per cell]  3 Ac 3.63-3.99, 4 Pm 3.65-3.87
6 Ac 0.6788 0.3459 0.9485 [1 per cell]  4 Pm 3.69-3.99, 1 Ho 3.84, 3 Ac 3.97-4.12
7 Ac 0.7478 0.9993 0.4601 [1 per cell]  4 Pm 3.49-3.88, 2 Ac 3.61-3.76
8 Ac 0.8802 0.5044 0.1636 [1 per cell]  5 Pm 3.60-3.98, 1 Ho 3.64, 2 Ac 3.97-3.98
9 Pm 0.1986 0.2186 0.1567 [1 per cell]  1 Ho 3.47, 3 Pm 3.52-3.86, 6 Ac 3.63-3.84
10 Pm 0.3543 0.6590 0.9270 [1 per cell]  3 Pm 3.52-3.68, 5 Ac 3.67-3.92, 1 Ho 3.81
11 Pm 0.3770 0.4031 0.3577 [1 per cell]  4 Pm 3.48-3.87, 1 Ho 3.51, 5 Ac 3.60-3.82
12 Pm 0.5930 0.6326 0.4951 [1 per cell]  1 Ho 3.41, 4 Ac 3.49-3.65, 1 Pm 3.65
13 Pm 0.9411 0.2229 0.5896 [1 per cell]  2 Pm 3.48-3.57, 8 Ac 3.64-3.90
14 Ho 0.1636 0.4524 0.7584 [1 per cell]  4 Pm 3.41-3.81, 5 Ac 3.57-3.76

## Properties
The calculation puts the calculated volume at 41.4 A^3/atom. The electronic total energy comes out at -59.39 eV per formula unit.

---

- Look up the calculated volume of the third one.
  34.2 A^3/atom

---

- Look up the calculated volume of the sixth one.
  33.3 A^3/atom

---

- Look up the calculated volume of the second one.
  39.9 A^3/atom